Here is crystalline LiMn5O7F at its relaxed geometry from the Alexandria database. Energies are from PBE+U.

Lattice parameters (Å, degrees): 6.0699 6.0699 6.0699 61.08 61.08 61.08
Last column: nearest neighbours and their distance in Å.
Atoms (fractional coordinates):
Li1 0.7630 0.7630 0.7630  1 F 1.90, 3 O 2.08
Mn1 0.3764 0.3764 0.3764  6 O 2.10-2.11
Mn2 0.9875 0.9875 0.9875  4 O 1.99-2.08
Mn3 0.3673 0.8768 0.3673  5 O 1.97-2.12
Mn4 0.3673 0.3673 0.8768  5 O 1.97-2.12
Mn5 0.8768 0.3673 0.3673  5 O 1.97-2.12
O1 0.1768 0.6180 0.6180  3 Mn 1.97-2.10, 1 Li 2.08
O2 0.6180 0.6180 0.1768  3 Mn 1.97-2.10, 1 Li 2.08
O3 0.1341 0.1341 0.5742  4 Mn 2.01-2.11
O4 0.1224 0.1224 0.1224  4 Mn 1.99-2.12
O5 0.5742 0.1341 0.1341  4 Mn 2.01-2.11
O6 0.1341 0.5742 0.1341  4 Mn 2.01-2.11
O7 0.6180 0.1768 0.6180  3 Mn 1.97-2.10, 1 Li 2.08
F1 0.6339 0.6339 0.6339  1 Li 1.90

E   -7.182 eV per atom
Calculated volume   11.6 A^3/atom
Crystal system   trigonal